Entry 1:
# CsV5S8 | Alexandria via LeMat-Bulk | SCAN | PBEsol geometry
# DOS(E_F): 0.48 states/eV/atom
# Calculated total energy: -15.60 eV per atom
# Energy relative to the elements, uncorrected: -1.15 eV/atom
data_CsV5S8
_symmetry_space_group_name_H-M 'C 1 2/m 1'
_symmetry_Int_Tables_number 12
_cell_length_a 17.446
_cell_length_b 3.242
_cell_length_c 8.453
_cell_angle_alpha 90.00
_cell_angle_beta 104.12
_cell_angle_gamma 90.00
loop_
_symmetry_equiv_pos_as_xyz
'x,y,z'
'-x,-y,-z'
'-x,y,-z'
'x,-y,z'
'x+1/2,y+1/2,z'
'-x+1/2,-y+1/2,-z'
'-x+1/2,y+1/2,-z'
'x+1/2,-y+1/2,z'
loop_
_atom_site_label
_atom_site_type_symbol
_atom_site_fract_x
_atom_site_fract_y
_atom_site_fract_z
Cs1 Cs 0.000 0.000 0.000
V1 V 0.000 0.500 0.500
V2 V 0.148 0.000 0.501
V3 V 0.210 0.000 0.858
S1 S 0.074 0.000 0.681
S2 S 0.088 0.500 0.325
S3 S 0.163 0.500 0.004
S4 S 0.241 0.500 0.660

Entry 2:
# Cs3YS | Alexandria via LeMat-Bulk | SCAN | PBEsol geometry
# DOS(E_F): 0.50 states/eV/atom
# Calculated total energy: -30.24 eV per atom
# Energy relative to the elements, uncorrected: -0.06 eV/atom
data_Cs3YS
_symmetry_space_group_name_H-M 'P m -3 m'
_symmetry_Int_Tables_number 221
_symmetry_space_group_name_Hall '-P 4 2 3'
_cell_length_a 6.665
_cell_length_b 6.665
_cell_length_c 6.665
_cell_angle_alpha 90.00
_cell_angle_beta 90.00
_cell_angle_gamma 90.00
loop_
_atom_site_label
_atom_site_type_symbol
_atom_site_fract_x
_atom_site_fract_y
_atom_site_fract_z
Cs1 Cs 0.000 0.000 0.500
Y1 Y 0.500 0.500 0.500
S1 S 0.000 0.000 0.000

Entry 3:
# CsZnS2 | Alexandria via LeMat-Bulk | SCAN | PBEsol geometry
# DOS(E_F): 0.33 states/eV/atom
# Calculated total energy: -18.21 eV per atom
# Energy relative to the elements, uncorrected: -0.56 eV/atom
data_CsZnS2
_symmetry_space_group_name_H-M 'R -3 m'
_symmetry_Int_Tables_number 166
_symmetry_space_group_name_Hall '-R 3 2"'
_cell_length_a 6.1852
_cell_length_b 6.1852
_cell_length_c 11.1025
_cell_angle_alpha 90.00
_cell_angle_beta 90.00
_cell_angle_gamma 120.00
loop_
_atom_site_label
_atom_site_type_symbol
_atom_site_fract_x
_atom_site_fract_y
_atom_site_fract_z
Cs1 Cs 0.0000 0.0000 0.0000
Zn1 Zn 0.0000 0.0000 0.5000
S1 S 0.0000 0.0000 0.3098